A plane-wave DFT calculation with PBE-GGA was carried out for La3Pr2Sm6Dy after structural relaxation.

uncorrected energy = -4.756 eV per atom
symmetry = C2/m (12)
calculated formation energy = 0.015 eV per atom
calculated volume = 417.8 Å³ per cell

Cell: 6.355 6.355 12.137 Å, 95.03 95.03 120.03°
Positions (direct):
1 La 0.167 0.833 0.500
2 La 0.833 0.167 0.500
3 La 0.500 0.500 0.500
4 Pr 0.333 0.667 0.000
5 Pr 0.667 0.333 0.000
6 Sm 0.918 0.586 0.752
7 Sm 0.750 0.750 0.248
8 Sm 0.082 0.414 0.248
9 Sm 0.586 0.918 0.752
10 Sm 0.250 0.250 0.752
11 Sm 0.414 0.082 0.248
12 Dy 0.000 0.000 0.000